--- A ---
# NbInI3 (GGA-PBE, optimized geometry)
data_NbInI3
_cell_length_a 5.9271
_cell_length_b 5.9271
_cell_length_c 5.9271
_cell_angle_alpha 90.00
_cell_angle_beta 90.00
_cell_angle_gamma 90.00
_space_group_name_H-M_alt 'P 1'
_space_group_IT_number 1
loop_
_space_group_symop_operation_xyz
'x,y,z'
loop_
_atom_site_label
_atom_site_fract_x
_atom_site_fract_y
_atom_site_fract_z
_atom_site_occupancy
Nb1 0.0000 0.0000 0.0000 1
In1 0.5000 0.5000 0.5000 1
I1 0.0000 0.5000 0.5000 1
I2 0.5000 0.0000 0.5000 1
I3 0.5000 0.5000 0.0000 1
# - Density of states at the Fermi level: 11.07 states/eV per cell
# - Size of the total moment: 3.935 μB/f.u.
# - Volume: 208.22 Å³ per cell

--- B ---
# NbInI3 (GGA-PBE, optimized geometry)
data_NbInI3
_cell_length_a 5.7919
_cell_length_b 5.7919
_cell_length_c 5.7919
_cell_angle_alpha 90.00
_cell_angle_beta 90.00
_cell_angle_gamma 90.00
_space_group_name_H-M_alt 'P 1'
_space_group_IT_number 1
loop_
_space_group_symop_operation_xyz
'x,y,z'
loop_
_atom_site_label
_atom_site_fract_x
_atom_site_fract_y
_atom_site_fract_z
_atom_site_occupancy
Nb1 0.0000 0.0000 0.0000 1
In1 0.5000 0.5000 0.5000 1
I1 0.0000 0.0000 0.5000 1
I2 0.0000 0.5000 0.0000 1
I3 0.5000 0.0000 0.0000 1
# - Density of states at the Fermi level: 1.18 states/eV per cell
# - Size of the total moment: 3.000 μB/f.u.
# - Volume: 194.30 Å³ per cell

Which of them is most stable, and which least? Most stable: B; least stable: A.

--- A ---
# NbInI2O (GGA-PBE, optimized geometry)
data_NbInI2O
_cell_length_a 5.8943
_cell_length_b 5.8943
_cell_length_c 3.9795
_cell_angle_alpha 90.00
_cell_angle_beta 90.00
_cell_angle_gamma 90.00
_space_group_name_H-M_alt 'P 1'
_space_group_IT_number 1
loop_
_space_group_symop_operation_xyz
'x,y,z'
loop_
_atom_site_label
_atom_site_fract_x
_atom_site_fract_y
_atom_site_fract_z
_atom_site_occupancy
Nb1 0.0000 0.0000 0.0000 1
In1 0.5000 0.5000 0.5000 1
I1 0.0000 0.5000 0.5000 1
I2 0.5000 0.0000 0.5000 1
O1 0.5000 0.5000 0.0000 1
# - Density of states at the Fermi level: 2.76 states/eV per cell
# - Size of the total moment: 3.778 μB/f.u.
# - Volume: 138.26 Å³ per cell

--- B ---
# NbInI2O (GGA-PBE, optimized geometry)
data_NbInI2O
_cell_length_a 5.9962
_cell_length_b 5.9962
_cell_length_c 3.9702
_cell_angle_alpha 90.00
_cell_angle_beta 90.00
_cell_angle_gamma 90.00
_space_group_name_H-M_alt 'P 1'
_space_group_IT_number 1
loop_
_space_group_symop_operation_xyz
'x,y,z'
loop_
_atom_site_label
_atom_site_fract_x
_atom_site_fract_y
_atom_site_fract_z
_atom_site_occupancy
Nb1 0.0000 0.0000 0.0000 1
In1 0.5000 0.5000 0.5000 1
I1 0.0000 0.5000 0.0000 1
I2 0.5000 0.0000 0.0000 1
O1 0.0000 0.0000 0.5000 1
# - Density of states at the Fermi level: 1.95 states/eV per cell
# - Size of the total moment: 1.895 μB/f.u.
# - Volume: 142.75 Å³ per cell

Which of them is most stable, and which least? Most stable: B; least stable: A.

--- A ---
# NbInTeI2 (GGA-PBE, optimized geometry)
data_NbInTeI2
_cell_length_a 5.8386
_cell_length_b 5.8386
_cell_length_c 5.4422
_cell_angle_alpha 90.00
_cell_angle_beta 90.00
_cell_angle_gamma 90.00
_space_group_name_H-M_alt 'P 1'
_space_group_IT_number 1
loop_
_space_group_symop_operation_xyz
'x,y,z'
loop_
_atom_site_label
_atom_site_fract_x
_atom_site_fract_y
_atom_site_fract_z
_atom_site_occupancy
Nb1 0.0000 0.0000 0.0000 1
In1 0.5000 0.5000 0.5000 1
Te1 0.0000 0.0000 0.5000 1
I1 0.0000 0.5000 0.0000 1
I2 0.5000 0.0000 0.0000 1
# - Density of states at the Fermi level: 3.19 states/eV per cell
# - Size of the total moment: 1.924 μB/f.u.
# - Volume: 185.52 Å³ per cell

--- B ---
# NbInTeI2 (GGA-PBE, optimized geometry)
data_NbInTeI2
_cell_length_a 5.6828
_cell_length_b 5.6828
_cell_length_c 5.7431
_cell_angle_alpha 90.00
_cell_angle_beta 90.00
_cell_angle_gamma 90.00
_space_group_name_H-M_alt 'P 1'
_space_group_IT_number 1
loop_
_space_group_symop_operation_xyz
'x,y,z'
loop_
_atom_site_label
_atom_site_fract_x
_atom_site_fract_y
_atom_site_fract_z
_atom_site_occupancy
Nb1 0.0000 0.0000 0.0000 1
In1 0.5000 0.5000 0.5000 1
Te1 0.5000 0.5000 0.0000 1
I1 0.0000 0.5000 0.5000 1
I2 0.5000 0.0000 0.5000 1
# - Density of states at the Fermi level: 6.99 states/eV per cell
# - Size of the total moment: 3.413 μB/f.u.
# - Volume: 185.47 Å³ per cell

Which of them is most stable, and which least? Most stable: A; least stable: B.